First-principles (PBE) data for TbTm4Mg after structural relaxation, as listed in Alexandria via LeMat-Bulk.

Cell lengths 3.5113, 3.5113, 14.2787 Å; angles 90.00, 90.00, 90.00 degrees
Atoms (fractional coordinates):
Tm: 0.5000 0.5000 0.8252
Tm: 0.0000 0.0000 0.3443
Tm: 0.5000 0.5000 0.1748
Tm: 0.0000 0.0000 0.6557
Mg: 0.5000 0.5000 0.5000
Tb: 0.0000 0.0000 0.0000

Values from the calculation:
energy of formation = -0.006 eV/atom
density of states at the Fermi level = 8.96 states/eV/f.u.
calculated volume = 176.05 Å³/f.u.
excess energy over the best structure of this formula in the dataset = 0.00 eV per formula unit
calculated total energy = -24.1 eV for the cell shown
total magnetization = 0.00 μB/atom


First-principles (PBE) data for Tb3Tm3Mg2 after structural relaxation, as listed in Alexandria via LeMat-Bulk.

Cell lengths 5.2886, 6.3767, 15.5013 Å; angles 90.00, 90.00, 114.50 degrees
Atoms (fractional coordinates):
Tb: 0.3553 0.7105 0.5303
Tb: 0.6447 0.2895 0.0303
Tb: 0.4645 0.9289 0.2500
Tb: 0.6447 0.2895 0.4697
Tb: 0.5355 0.0711 0.7500
Tb: 0.3553 0.7105 0.9697
Mg: 0.2132 0.4264 0.1476
Mg: 0.2132 0.4264 0.3524
Mg: 0.7868 0.5736 0.6476
Mg: 0.7868 0.5736 0.8524
Tm: 0.9487 0.8974 0.3997
Tm: 0.2534 0.5069 0.7500
Tm: 0.7466 0.4931 0.2500
Tm: 0.9487 0.8974 0.1003
Tm: 0.0513 0.1026 0.8997
Tm: 0.0513 0.1026 0.6003

Values from the calculation:
energy of formation = 0.084 eV/atom
density of states at the Fermi level = 12.97 states/eV/f.u.
calculated volume = 237.85 Å³/f.u.
calculated total energy = -59.6 eV for the cell shown
total magnetization = 0.00 μB/atom


- The lowest energy of formation belongs to which entry?
  TbTm4Mg